# LaTbPt (PBE, relaxed)
# VASP energy	-5.9499	eV per atom
# ΔE_f	-2.25	eV per formula unit
# crystal system	trigonal
data_LaTbPt
_cell_length_a 4.1880
_cell_length_b 4.1880
_cell_length_c 6.4011
_cell_angle_alpha 90.00
_cell_angle_beta 90.00
_cell_angle_gamma 120.00
_space_group_name_H-M_alt 'P 3 m 1'
_space_group_IT_number 156
loop_
_space_group_symop_operation_xyz
'x,y,z'
'-y,x-y,z'
'-x+y,-x,z'
'-y,-x,z'
'-x+y,y,z'
'x,x-y,z'
loop_
_atom_site_label
_atom_site_type_symbol
_atom_site_fract_x
_atom_site_fract_y
_atom_site_fract_z
La1 La 0.0000 0.0000 0.0000
Tb1 Tb 0.3333 0.6667 0.4868
Pt1 Pt 0.6667 0.3333 0.2597